# LiNdSmPb, relaxed, DFT PBE-GGA
# electronic total energy	-4.096	eV per atom
# DFT formation energy	-318	meV per atom
data_LiNdSmPb
_chemical_formula_sum 'Li4 Nd4 Sm4 Pb4'
_cell_length_a 7.664
_cell_length_b 7.664
_cell_length_c 7.664
_cell_angle_alpha 90.00
_cell_angle_beta 90.00
_cell_angle_gamma 90.00
_symmetry_space_group_name_H-M 'F -4 3 m'
_symmetry_Int_Tables_number 216
_symmetry_space_group_name_Hall 'F -4 2 3'
loop_
_atom_site_label
_atom_site_type_symbol
_atom_site_fract_x
_atom_site_fract_y
_atom_site_fract_z
Li1 Li 0.000 0.000 0.000
Nd1 Nd 0.250 0.250 0.750
Sm1 Sm 0.250 0.250 0.250
Pb1 Pb 0.000 0.000 0.500

# Li2Nd2SmPb2, relaxed, DFT PBE-GGA
# electronic total energy	-3.990	eV per atom
# DFT formation energy	-347	meV per atom
data_Li2Nd2SmPb2
_chemical_formula_sum 'Li6 Nd6 Sm3 Pb6'
_cell_length_a 4.8848
_cell_length_b 4.8848
_cell_length_c 27.9144
_cell_angle_alpha 90.00
_cell_angle_beta 90.00
_cell_angle_gamma 120.00
_symmetry_space_group_name_H-M 'R -3 m'
_symmetry_Int_Tables_number 166
_symmetry_space_group_name_Hall '-R 3 2"'
loop_
_atom_site_label
_atom_site_type_symbol
_atom_site_fract_x
_atom_site_fract_y
_atom_site_fract_z
Li1 Li 0.0000 0.0000 0.0993
Nd1 Nd 0.0000 0.0000 0.3710
Sm1 Sm 0.0000 0.0000 0.5000
Pb1 Pb 0.0000 0.0000 0.2342

# LiNdSnPb, relaxed, DFT PBE-GGA
# energy relative to the lowest polymorph listed for this composition	146	meV/atom
# electronic total energy	-3.966	eV per atom
# DFT formation energy	-368	meV per atom
data_LiNdSnPb
_chemical_formula_sum 'Li4 Nd4 Sn4 Pb4'
_cell_length_a 7.568
_cell_length_b 7.568
_cell_length_c 7.568
_cell_angle_alpha 90.00
_cell_angle_beta 90.00
_cell_angle_gamma 90.00
_symmetry_space_group_name_H-M 'F -4 3 m'
_symmetry_Int_Tables_number 216
_symmetry_space_group_name_Hall 'F -4 2 3'
loop_
_atom_site_label
_atom_site_type_symbol
_atom_site_fract_x
_atom_site_fract_y
_atom_site_fract_z
Li1 Li 0.000 0.000 0.000
Nd1 Nd 0.000 0.000 0.500
Sn1 Sn 0.250 0.250 0.250
Pb1 Pb 0.250 0.250 0.750

# LiNdSnPb, relaxed, DFT PBE-GGA
# energy relative to the lowest polymorph listed for this composition	0	meV/atom
# electronic total energy	-4.112	eV per atom
# DFT formation energy	-514	meV per atom
data_LiNdSnPb
_chemical_formula_sum 'Li1 Nd1 Sn1 Pb1'
_cell_length_a 4.562
_cell_length_b 4.728
_cell_length_c 4.842
_cell_angle_alpha 90.00
_cell_angle_beta 90.00
_cell_angle_gamma 90.00
_symmetry_space_group_name_H-M 'P m m m'
_symmetry_Int_Tables_number 47
loop_
_symmetry_equiv_pos_as_xyz
'x,y,z'
'-x,-y,-z'
'-x,-y,z'
'x,y,-z'
'x,-y,-z'
'-x,y,z'
'-x,y,-z'
'x,-y,z'
loop_
_atom_site_label
_atom_site_type_symbol
_atom_site_fract_x
_atom_site_fract_y
_atom_site_fract_z
Li1 Li 0.000 0.000 0.000
Nd1 Nd 0.000 0.500 0.500
Sn1 Sn 0.500 0.000 0.500
Pb1 Pb 0.500 0.500 0.000

# SrLiNdPb, relaxed, DFT PBE-GGA
# electronic total energy	-3.315	eV per atom
# DFT formation energy	-298	meV per atom
data_SrLiNdPb
_chemical_formula_sum 'Sr4 Li4 Nd4 Pb4'
_cell_length_a 7.934
_cell_length_b 7.934
_cell_length_c 7.934
_cell_angle_alpha 90.00
_cell_angle_beta 90.00
_cell_angle_gamma 90.00
_symmetry_space_group_name_H-M 'F -4 3 m'
_symmetry_Int_Tables_number 216
_symmetry_space_group_name_Hall 'F -4 2 3'
loop_
_atom_site_label
_atom_site_type_symbol
_atom_site_fract_x
_atom_site_fract_y
_atom_site_fract_z
Sr1 Sr 0.000 0.000 0.000
Li1 Li 0.250 0.250 0.750
Nd1 Nd 0.000 0.000 0.500
Pb1 Pb 0.250 0.250 0.250

# Sr2Li2NdPb2, relaxed, DFT PBE-GGA
# electronic total energy	-3.188	eV per atom
# DFT formation energy	-420	meV per atom
data_Sr2Li2NdPb2
_chemical_formula_sum 'Sr6 Li6 Nd3 Pb6'
_cell_length_a 4.9002
_cell_length_b 4.9002
_cell_length_c 33.6169
_cell_angle_alpha 90.00
_cell_angle_beta 90.00
_cell_angle_gamma 120.00
_symmetry_space_group_name_H-M 'R -3 m'
_symmetry_Int_Tables_number 166
_symmetry_space_group_name_Hall '-R 3 2"'
loop_
_atom_site_label
_atom_site_type_symbol
_atom_site_fract_x
_atom_site_fract_y
_atom_site_fract_z
Sr1 Sr 0.0000 0.0000 0.1167
Li1 Li 0.0000 0.0000 0.3815
Nd1 Nd 0.0000 0.0000 0.0000
Pb1 Pb 0.0000 0.0000 0.2782

# Li2TbNd2Pb2, relaxed, DFT PBE-GGA
# electronic total energy	-3.967	eV per atom
# DFT formation energy	-337	meV per atom
data_Li2TbNd2Pb2
_chemical_formula_sum 'Li6 Tb3 Nd6 Pb6'
_cell_length_a 4.8596
_cell_length_b 4.8596
_cell_length_c 27.8346
_cell_angle_alpha 90.00
_cell_angle_beta 90.00
_cell_angle_gamma 120.00
_symmetry_space_group_name_H-M 'R -3 m'
_symmetry_Int_Tables_number 166
_symmetry_space_group_name_Hall '-R 3 2"'
loop_
_atom_site_label
_atom_site_type_symbol
_atom_site_fract_x
_atom_site_fract_y
_atom_site_fract_z
Li1 Li 0.0000 0.0000 0.1036
Tb1 Tb 0.0000 0.0000 0.5000
Nd1 Nd 0.0000 0.0000 0.3720
Pb1 Pb 0.0000 0.0000 0.2326

# Li2Tb2NdPb2, relaxed, DFT PBE-GGA
# electronic total energy	-3.946	eV per atom
# DFT formation energy	-336	meV per atom
data_Li2Tb2NdPb2
_chemical_formula_sum 'Li6 Tb6 Nd3 Pb6'
_cell_length_a 4.8754
_cell_length_b 4.8754
_cell_length_c 27.2385
_cell_angle_alpha 90.00
_cell_angle_beta 90.00
_cell_angle_gamma 120.00
_symmetry_space_group_name_H-M 'R -3 m'
_symmetry_Int_Tables_number 166
_symmetry_space_group_name_Hall '-R 3 2"'
loop_
_atom_site_label
_atom_site_type_symbol
_atom_site_fract_x
_atom_site_fract_y
_atom_site_fract_z
Li1 Li 0.0000 0.0000 0.0905
Tb1 Tb 0.0000 0.0000 0.3699
Nd1 Nd 0.0000 0.0000 0.5000
Pb1 Pb 0.0000 0.0000 0.2383

# LiNd2Te4Pb, relaxed, DFT PBE-GGA
# energy relative to the elements, uncorrected	-1066	meV/atom
# electronic total energy	-4.532	eV per atom
data_LiNd2Te4Pb
_chemical_formula_sum 'Li1 Nd2 Te4 Pb1'
_cell_length_a 7.701
_cell_length_b 4.467
_cell_length_c 7.968
_cell_angle_alpha 90.00
_cell_angle_beta 108.73
_cell_angle_gamma 90.00
_symmetry_space_group_name_H-M 'P 1 2/m 1'
_symmetry_Int_Tables_number 10
loop_
_symmetry_equiv_pos_as_xyz
'x,y,z'
'-x,-y,-z'
'-x,y,-z'
'x,-y,z'
loop_
_atom_site_label
_atom_site_type_symbol
_atom_site_fract_x
_atom_site_fract_y
_atom_site_fract_z
Li1 Li 0.000 0.000 0.000
Nd1 Nd 0.000 0.500 0.500
Nd2 Nd 0.500 0.000 0.500
Te1 Te 0.242 0.000 0.753
Te2 Te 0.242 0.500 0.246
Pb1 Pb 0.500 0.500 0.000

# LiNd2Te6Pb3, relaxed, DFT PBE-GGA
# energy relative to the elements, uncorrected	-812	meV/atom
# electronic total energy	-4.264	eV per atom
data_LiNd2Te6Pb3
_chemical_formula_sum 'Li2 Nd4 Te12 Pb6'
_cell_length_a 20.045
_cell_length_b 4.510
_cell_length_c 9.228
_cell_angle_alpha 90.00
_cell_angle_beta 104.71
_cell_angle_gamma 90.00
_symmetry_space_group_name_H-M 'C 1 2/m 1'
_symmetry_Int_Tables_number 12
loop_
_symmetry_equiv_pos_as_xyz
'x,y,z'
'-x,-y,-z'
'-x,y,-z'
'x,-y,z'
'x+1/2,y+1/2,z'
'-x+1/2,-y+1/2,-z'
'-x+1/2,y+1/2,-z'
'x+1/2,-y+1/2,z'
loop_
_atom_site_label
_atom_site_type_symbol
_atom_site_fract_x
_atom_site_fract_y
_atom_site_fract_z
Li1 Li 0.000 0.000 0.000
Nd1 Nd 0.166 0.500 0.341
Te1 Te 0.003 0.500 0.239
Te2 Te 0.168 0.000 0.096
Te3 Te 0.169 0.000 0.589
Pb1 Pb 0.000 0.000 0.500
Pb2 Pb 0.160 0.500 0.848

# Li2Nd2ThPb2, relaxed, DFT PBE-GGA
# electronic total energy	-4.285	eV per atom
# DFT formation energy	-256	meV per atom
data_Li2Nd2ThPb2
_chemical_formula_sum 'Li6 Nd6 Th3 Pb6'
_cell_length_a 4.9253
_cell_length_b 4.9253
_cell_length_c 27.6820
_cell_angle_alpha 90.00
_cell_angle_beta 90.00
_cell_angle_gamma 120.00
_symmetry_space_group_name_H-M 'R -3 m'
_symmetry_Int_Tables_number 166
_symmetry_space_group_name_Hall '-R 3 2"'
loop_
_atom_site_label
_atom_site_type_symbol
_atom_site_fract_x
_atom_site_fract_y
_atom_site_fract_z
Li1 Li 0.0000 0.0000 0.0958
Nd1 Nd 0.0000 0.0000 0.3715
Th1 Th 0.0000 0.0000 0.5000
Pb1 Pb 0.0000 0.0000 0.2339

# Li2NdTm2Pb2, relaxed, DFT PBE-GGA
# electronic total energy	-3.880	eV per atom
# DFT formation energy	-315	meV per atom
data_Li2NdTm2Pb2
_chemical_formula_sum 'Li6 Nd3 Tm6 Pb6'
_cell_length_a 4.8701
_cell_length_b 4.8701
_cell_length_c 26.6440
_cell_angle_alpha 90.00
_cell_angle_beta 90.00
_cell_angle_gamma 120.00
_symmetry_space_group_name_H-M 'R -3 m'
_symmetry_Int_Tables_number 166
_symmetry_space_group_name_Hall '-R 3 2"'
loop_
_atom_site_label
_atom_site_type_symbol
_atom_site_fract_x
_atom_site_fract_y
_atom_site_fract_z
Li1 Li 0.0000 0.0000 0.0850
Nd1 Nd 0.0000 0.0000 0.5000
Tm1 Tm 0.0000 0.0000 0.3690
Pb1 Pb 0.0000 0.0000 0.2398

# LiNdYPb, relaxed, DFT PBE-GGA
# electronic total energy	-4.531	eV per atom
# DFT formation energy	-317	meV per atom
data_LiNdYPb
_chemical_formula_sum 'Li4 Nd4 Y4 Pb4'
_cell_length_a 7.596
_cell_length_b 7.596
_cell_length_c 7.596
_cell_angle_alpha 90.00
_cell_angle_beta 90.00
_cell_angle_gamma 90.00
_symmetry_space_group_name_H-M 'F -4 3 m'
_symmetry_Int_Tables_number 216
_symmetry_space_group_name_Hall 'F -4 2 3'
loop_
_atom_site_label
_atom_site_type_symbol
_atom_site_fract_x
_atom_site_fract_y
_atom_site_fract_z
Li1 Li 0.000 0.000 0.000
Nd1 Nd 0.250 0.250 0.250
Y1 Y 0.250 0.250 0.750
Pb1 Pb 0.000 0.000 0.500

# Li2NdY2Pb2, relaxed, DFT PBE-GGA
# electronic total energy	-4.486	eV per atom
# DFT formation energy	-351	meV per atom
data_Li2NdY2Pb2
_chemical_formula_sum 'Li6 Nd3 Y6 Pb6'
_cell_length_a 4.8719
_cell_length_b 4.8719
_cell_length_c 27.2710
_cell_angle_alpha 90.00
_cell_angle_beta 90.00
_cell_angle_gamma 120.00
_symmetry_space_group_name_H-M 'R -3 m'
_symmetry_Int_Tables_number 166
_symmetry_space_group_name_Hall '-R 3 2"'
loop_
_atom_site_label
_atom_site_type_symbol
_atom_site_fract_x
_atom_site_fract_y
_atom_site_fract_z
Li1 Li 0.0000 0.0000 0.0907
Nd1 Nd 0.0000 0.0000 0.5000
Y1 Y 0.0000 0.0000 0.3701
Pb1 Pb 0.0000 0.0000 0.2386

# LiNdPd3, relaxed, DFT PBE-GGA
# energy relative to the lowest polymorph listed for this composition	0	meV/atom
# electronic total energy	-5.029	eV per atom
# DFT formation energy	-577	meV per atom
data_LiNdPd3
_chemical_formula_sum 'Li2 Nd2 Pd6'
_cell_length_a 6.1515
_cell_length_b 6.1515
_cell_length_c 5.4510
_cell_angle_alpha 90.00
_cell_angle_beta 90.00
_cell_angle_gamma 120.00
_symmetry_space_group_name_H-M 'P 63/m m c'
_symmetry_Int_Tables_number 194
_symmetry_space_group_name_Hall '-P 6c 2c'
loop_
_atom_site_label
_atom_site_type_symbol
_atom_site_fract_x
_atom_site_fract_y
_atom_site_fract_z
Li1 Li 0.0000 0.0000 0.0000
Nd1 Nd 0.3333 0.6667 0.2500
Pd1 Pd 0.1838 0.3675 0.7500

# Li9NdPd2, relaxed, DFT PBE-GGA
# electronic total energy	-2.854	eV per atom
# DFT formation energy	-156	meV per atom
data_Li9NdPd2
_chemical_formula_sum 'Li36 Nd4 Pd8'
_cell_length_a 10.949
_cell_length_b 10.949
_cell_length_c 7.250
_cell_angle_alpha 90.00
_cell_angle_beta 90.00
_cell_angle_gamma 90.00
_symmetry_space_group_name_H-M 'I 41/a m d'
_symmetry_Int_Tables_number 141
loop_
_symmetry_equiv_pos_as_xyz
'x,y,z'
'-x,-y,-z'
'-y+1/4,x+3/4,z+1/4'
'y+1/4,-x+3/4,-z+1/4'
'-x+1/2,-y,z+1/2'
'x+1/2,y,-z+1/2'
'y+1/4,-x+1/4,z+3/4'
'-y+1/4,x+1/4,-z+3/4'
'x,-y,-z'
'-x,y,z'
'-y+1/4,-x+1/4,-z+3/4'
'y+1/4,x+1/4,z+3/4'
'-x+1/2,y,-z+1/2'
'x+1/2,-y,z+1/2'
'y+1/4,x+3/4,-z+1/4'
'-y+1/4,-x+3/4,z+1/4'
'x+1/2,y+1/2,z+1/2'
'-x+1/2,-y+1/2,-z+1/2'
'-y+3/4,x+1/4,z+3/4'
'y+3/4,-x+1/4,-z+3/4'
'-x,-y+1/2,z'
'x,y+1/2,-z'
'y+3/4,-x+3/4,z+1/4'
'-y+3/4,x+3/4,-z+1/4'
'x+1/2,-y+1/2,-z+1/2'
'-x+1/2,y+1/2,z+1/2'
'-y+3/4,-x+3/4,-z+1/4'
'y+3/4,x+3/4,z+1/4'
'-x,y+1/2,-z'
'x,-y+1/2,z'
'y+3/4,x+1/4,-z+3/4'
'-y+3/4,-x+1/4,z+3/4'
loop_
_atom_site_label
_atom_site_type_symbol
_atom_site_fract_x
_atom_site_fract_y
_atom_site_fract_z
Li1 Li 0.000 0.250 0.375
Li2 Li 0.121 0.049 0.196
Nd1 Nd 0.000 0.250 0.875
Pd1 Pd 0.000 0.000 0.500

# Li2Nd2Pd5, relaxed, DFT PBE-GGA
# electronic total energy	-4.969	eV per atom
# DFT formation energy	-600	meV per atom
data_Li2Nd2Pd5
_chemical_formula_sum 'Li2 Nd2 Pd5'
_cell_length_a 4.439
_cell_length_b 4.439
_cell_length_c 8.329
_cell_angle_alpha 90.00
_cell_angle_beta 90.00
_cell_angle_gamma 90.00
_symmetry_space_group_name_H-M 'P 4/m m m'
_symmetry_Int_Tables_number 123
_symmetry_space_group_name_Hall '-P 4 2'
loop_
_atom_site_label
_atom_site_type_symbol
_atom_site_fract_x
_atom_site_fract_y
_atom_site_fract_z
Li1 Li 0.000 0.000 0.148
Nd1 Nd 0.500 0.500 0.000
Nd2 Nd 0.500 0.500 0.500
Pd1 Pd 0.000 0.000 0.500
Pd2 Pd 0.000 0.500 0.260

# LiNdPd2, relaxed, DFT PBE-GGA
# electronic total energy	-4.845	eV per atom
# DFT formation energy	-578	meV per atom
data_LiNdPd2
_chemical_formula_sum 'Li1 Nd1 Pd2'
_cell_length_a 4.349
_cell_length_b 4.349
_cell_length_c 4.012
_cell_angle_alpha 90.00
_cell_angle_beta 90.00
_cell_angle_gamma 90.00
_symmetry_space_group_name_H-M 'P 4/m m m'
_symmetry_Int_Tables_number 123
_symmetry_space_group_name_Hall '-P 4 2'
loop_
_atom_site_label
_atom_site_type_symbol
_atom_site_fract_x
_atom_site_fract_y
_atom_site_fract_z
Li1 Li 0.000 0.000 0.000
Nd1 Nd 0.500 0.500 0.000
Pd1 Pd 0.000 0.500 0.500

# LiNd12Pd6, relaxed, DFT PBE-GGA
# electronic total energy	-5.049	eV per atom
# DFT formation energy	-297	meV per atom
data_LiNd12Pd6
_chemical_formula_sum 'Li3 Nd36 Pd18'
_cell_length_a 13.6420
_cell_length_b 13.6420
_cell_length_c 10.9475
_cell_angle_alpha 90.00
_cell_angle_beta 90.00
_cell_angle_gamma 120.00
_symmetry_space_group_name_H-M 'R -3'
_symmetry_Int_Tables_number 148
_symmetry_space_group_name_Hall '-R 3'
loop_
_atom_site_label
_atom_site_type_symbol
_atom_site_fract_x
_atom_site_fract_y
_atom_site_fract_z
Li1 Li 0.0000 0.0000 0.0000
Nd1 Nd 0.0303 0.8205 0.3755
Nd2 Nd 0.0411 0.8251 0.8889
Pd1 Pd 0.0436 0.7823 0.6384

# LiNd2Pd3, relaxed, DFT PBE-GGA
# energy relative to the lowest polymorph listed for this composition	0	meV/atom
# electronic total energy	-5.095	eV per atom
# DFT formation energy	-591	meV per atom
data_LiNd2Pd3
_chemical_formula_sum 'Li2 Nd4 Pd6'
_cell_length_a 4.4772
_cell_length_b 4.4772
_cell_length_c 15.2021
_cell_angle_alpha 90.00
_cell_angle_beta 90.00
_cell_angle_gamma 120.00
_symmetry_space_group_name_H-M 'P 63/m m c'
_symmetry_Int_Tables_number 194
_symmetry_space_group_name_Hall '-P 6c 2c'
loop_
_atom_site_label
_atom_site_type_symbol
_atom_site_fract_x
_atom_site_fract_y
_atom_site_fract_z
Li1 Li 0.3333 0.6667 0.2500
Nd1 Nd 0.0000 0.0000 0.1209
Pd1 Pd 0.3333 0.6667 0.0194
Pd2 Pd 0.3333 0.6667 0.7500